Density functional theory data (PBE) for a geometry-optimized OsRh3 structure.

abc: 8.6224 8.6224 2.7102
angles: 90.00 90.00 143.36
Closest atoms and distances in Å follow each position.
Fractional coordinates of all 8 atoms:
Os 0.1770 0.8230 0.7500  8 Rh 2.59-2.72, 2 Os 2.71
Os 0.8230 0.1770 0.2500  8 Rh 2.59-2.72, 2 Os 2.71
Rh 0.1849 0.3250 0.7500  2 Os 2.61, 8 Rh 2.66-2.76
Rh 0.3120 0.6880 0.2500  4 Os 2.59-2.72, 6 Rh 2.71
Rh 0.3250 0.1849 0.2500  2 Os 2.61, 8 Rh 2.66-2.76
Rh 0.6750 0.8151 0.7500  2 Os 2.61, 8 Rh 2.66-2.76
Rh 0.6880 0.3120 0.7500  4 Os 2.59-2.72, 6 Rh 2.71
Rh 0.8151 0.6750 0.2500  2 Os 2.61, 8 Rh 2.66-2.76

Summary:
Its total energy is -8.055 eV/atom. The value obtained for the magnetization is 0.000 μB per cell. The value obtained for the density of states at the Fermi level is 9.7 states/eV/cell. For the formation energy from the elements, the calculation gives 0.266 eV/atom.